Entry from the Alexandria database: crystalline Ca2AcHo at its relaxed geometry (GGA-PBE).

Cell: 6.0420 6.0420 6.0420 Å, 60.00 60.00 60.00°
With the nearest neighbours (Å) after each atom.
Sites, in units of the cell vectors:
1 Ho 0.0000 0.0000 0.0000  8 Ca 3.70
2 Ca 0.7500 0.7500 0.7500  4 Ho 3.70, 4 Ac 3.70
3 Ca 0.2500 0.2500 0.2500  4 Ac 3.70, 4 Ho 3.70
4 Ac 0.5000 0.5000 0.5000  8 Ca 3.70

Properties
Distance to the lowest polymorph of the same formula   31 meV/atom
Energy   -12.2 eV per cell
Formation energy from the elements   12.9 kJ/mol of atoms

---

Entry from the Alexandria database: crystalline CaAc9Ho2 at its relaxed geometry (GGA-PBE).

Cell: 5.5177 5.5177 16.5802 Å, 90.00 90.00 90.00°
With the nearest neighbours (Å) after each atom.
Sites, in units of the cell vectors:
1 Ac 0.5000 0.0000 0.5000  8 Ac 3.88-3.90, 4 Ho 3.89
2 Ac 0.5000 0.5000 0.6644  8 Ac 3.87-3.88, 4 Ho 3.90
3 Ac 0.5000 0.5000 0.3356  8 Ac 3.87-3.88, 4 Ho 3.90
4 Ac 0.0000 0.5000 0.1723  2 Ho 3.85, 8 Ac 3.87-3.97, 2 Ca 3.97
5 Ac 0.5000 0.0000 0.1723  2 Ho 3.85, 8 Ac 3.87-3.97, 2 Ca 3.97
6 Ac 0.5000 0.0000 0.8277  2 Ho 3.85, 8 Ac 3.87-3.97, 2 Ca 3.97
7 Ac 0.0000 0.5000 0.5000  8 Ac 3.88-3.90, 4 Ho 3.89
8 Ac 0.0000 0.5000 0.8277  2 Ho 3.85, 8 Ac 3.87-3.97, 2 Ca 3.97
9 Ac 0.5000 0.5000 0.0000  4 Ca 3.90, 8 Ac 3.97
10 Ho 0.0000 0.0000 0.3345  12 Ac 3.85-3.90
11 Ho 0.0000 0.0000 0.6655  12 Ac 3.85-3.90
12 Ca 0.0000 0.0000 0.0000  12 Ac 3.90-3.97

Properties
Energy   -47.7 eV per cell
Formation energy from the elements   3.1 kJ/mol of atoms

---

Entry from the Alexandria database: crystalline Ca2Ac6Ho at its relaxed geometry (GGA-PBE).

Cell: 3.9135 3.9135 29.2655 Å, 90.00 90.00 120.00°
With the nearest neighbours (Å) after each atom.
Sites, in units of the cell vectors:
1 Ca 0.6667 0.3333 0.3265  6 Ca 3.91, 6 Ac 3.93-3.99
2 Ca 0.6667 0.3333 0.6735  6 Ca 3.91, 6 Ac 3.93-3.99
3 Ac 0.3333 0.6667 0.4363  7 Ac 3.73-3.91, 3 Ca 3.93
4 Ac 0.6667 0.3333 0.8986  3 Ho 3.73, 9 Ac 3.91-4.00
5 Ac 0.3333 0.6667 0.2141  9 Ac 3.91-4.00, 3 Ca 3.99
6 Ac 0.3333 0.6667 0.5637  7 Ac 3.73-3.91, 3 Ca 3.93
7 Ac 0.6667 0.3333 0.1014  3 Ho 3.73, 9 Ac 3.91-4.00
8 Ac 0.3333 0.6667 0.7859  9 Ac 3.91-4.00, 3 Ca 3.99
9 Ho 0.3333 0.6667 0.0000  6 Ac 3.73, 6 Ho 3.91

Properties
Distance to the lowest polymorph of the same formula   0 meV/atom
Energy   -32.4 eV per cell
Formation energy from the elements   8.4 kJ/mol of atoms